[1]
DFT (SCAN) results for GaReCl3 at its PBEsol-relaxed geometry.

Results
Calculated total energy, eV per atom: -22.209
Magnetic moment, μB per cell: 2.23
N(E_F), states/eV/cell: 2.365
E_form (uncorrected), kJ/mol of atoms: 6
Space group: Pm-3m (221)

Cell: 4.7909 4.7909 4.7909 Å, 90.00 90.00 90.00°
Fractional positions:
Ga1 0.0000 0.0000 0.0000
Re1 0.5000 0.5000 0.5000
Cl1 0.0000 0.5000 0.5000
Cl2 0.5000 0.0000 0.5000
Cl3 0.5000 0.5000 0.0000

***

[2]
DFT (SCAN) results for LiCa2Ge3 at its PBEsol-relaxed geometry.

Results
Calculated total energy, eV per atom: -13.785
Magnetic moment, μB per cell: 0.00
ΔE_f, eV per atom: -0.621
N(E_F), states/eV/cell: 4.277
Space group: Pnnm (58)

Cell: 10.6221 11.2638 4.3674 Å, 90.00 90.00 90.00°
Fractional positions:
Li1 0.1372 0.2185 0.0000
Li2 0.3628 0.7185 0.5000
Li3 0.6372 0.2815 0.5000
Li4 0.8628 0.7815 0.0000
Ca1 0.0525 0.6474 0.5000
Ca2 0.1786 0.9288 0.0000
Ca3 0.3214 0.4288 0.5000
Ca4 0.4475 0.1474 0.0000
Ca5 0.5525 0.8526 0.0000
Ca6 0.6786 0.5712 0.5000
Ca7 0.8214 0.0712 0.0000
Ca8 0.9475 0.3526 0.5000
Ge1 0.0274 0.1051 0.5000
Ge2 0.1115 0.4550 0.0000
Ge3 0.2434 0.6433 0.0000
Ge4 0.2566 0.1433 0.5000
Ge5 0.3885 0.9550 0.5000
Ge6 0.4726 0.6051 0.0000
Ge7 0.5274 0.3949 0.0000
Ge8 0.6115 0.0450 0.5000
Ge9 0.7434 0.8567 0.5000
Ge10 0.7566 0.3567 0.0000
Ge11 0.8885 0.5450 0.0000
Ge12 0.9726 0.8949 0.5000

***

[3]
DFT (SCAN) results for Y2ScRuPt at its PBEsol-relaxed geometry.

Results
Calculated total energy, eV per atom: -34.890
Magnetic moment, μB per cell: 0.33
ΔE_f, eV per atom: 0.098
N(E_F), states/eV/cell: 5.146
Space group: P4/mmm (123)

Cell: 5.2272 5.2272 4.8192 Å, 90.00 90.00 90.00°
Fractional positions:
Y1 0.0000 0.5000 0.0000
Y2 0.5000 0.0000 0.0000
Sc1 0.0000 0.0000 0.5000
Ru1 0.5000 0.5000 0.5000
Pt1 0.5000 0.5000 0.0000

***

[4]
DFT (SCAN) results for Na2TiBeTe at its PBEsol-relaxed geometry.

Results
Calculated total energy, eV per atom: -12.476
Magnetic moment, μB per cell: 3.32
N(E_F), states/eV/cell: 4.583
E_form (uncorrected), kJ/mol of atoms: 71
Space group: P4/mmm (123)

Cell: 5.7651 5.7651 4.6167 Å, 90.00 90.00 90.00°
Fractional positions:
Na1 0.0000 0.5000 0.0000
Na2 0.5000 0.0000 0.0000
Ti1 0.0000 0.0000 0.5000
Be1 0.5000 0.5000 0.5000
Te1 0.5000 0.5000 0.0000

***

[5]
DFT (SCAN) results for CaTe2Ru at its PBEsol-relaxed geometry.

Results
Calculated total energy, eV per atom: -30.073
Magnetic moment, μB per cell: 0.49
Energy above the lowest structure with this stoichiometry, meV per atom: 90.7
N(E_F), states/eV/cell: 3.252
E_form (uncorrected), kJ/mol of atoms: -31
Space group: P4mm (99)

Cell: 3.8767 3.8767 6.1122 Å, 90.00 90.00 90.00°
Fractional positions:
Ca1 0.0000 0.0000 0.0000
Te1 0.0000 0.0000 0.4793
Te2 0.5000 0.5000 0.8226
Ru1 0.5000 0.5000 0.3709

***

[6]
DFT (SCAN) results for SrRuCl2 at its PBEsol-relaxed geometry.

Results
Calculated total energy, eV per atom: -18.887
Magnetic moment, μB per cell: 2.10
Energy above the lowest structure with this stoichiometry, meV per atom: 238.9
N(E_F), states/eV/cell: 1.174
E_form (uncorrected), kJ/mol of atoms: -60
Space group: Pmmm (47)

Cell: 3.5518 4.2084 5.6385 Å, 90.00 90.00 90.00°
Fractional positions:
Sr1 0.0000 0.0000 0.0000
Ru1 0.5000 0.0000 0.5000
Cl1 0.0000 0.5000 0.5000
Cl2 0.5000 0.5000 0.0000